Compound: SmSc2WO8
Source: the Alexandria database
Functional: GGA+U
Structure: optimized geometry

Results
The final energy is -0.299 hartree per atom. As for the total magnetic moment: 1.38 μB per cell.

```
data_SmSc2WO8
_chemical_formula_sum 'Sm2 Sc4 W2 O16'
_cell_length_a 6.854
_cell_length_b 6.884
_cell_length_c 6.717
_cell_angle_alpha 90.00
_cell_angle_beta 90.00
_cell_angle_gamma 90.00
_symmetry_space_group_name_H-M 'C m m m'
_symmetry_Int_Tables_number 65
_symmetry_space_group_name_Hall '-C 2 2'
loop_
_atom_site_label
_atom_site_type_symbol
_atom_site_fract_x
_atom_site_fract_y
_atom_site_fract_z
_atom_site_occupancy
Sm1 Sm 0.000 0.000 0.000 1
Sc1 Sc 0.000 0.500 0.259 1
W1 W 0.000 0.000 0.500 1
O1 O 0.000 0.194 0.289 1
O2 O 0.173 0.500 0.000 1
O3 O 0.212 0.500 0.500 1
```